YTcOs2: optimized geometry, PBE.

Structure (extended XYZ):
```
4
Lattice="2.957 -0.001 0.000 0.001 2.957 0.000 0.000 0.000 7.802" Properties=species:S:1:pos:R:3 pbc="T T T"
Y 1.479 1.478 5.852
Os 0.000 0.000 0.297
Os 0.000 0.000 3.604
Tc 1.479 1.478 1.951
```

SG: P4/mmm
E_form: 176 meV per atom



In2W: optimized geometry, PBE.

Structure (extended XYZ):
```
3
Lattice="-0.650 3.664 3.242 -3.441 -3.459 -0.537 1.281 -1.553 2.012" Properties=species:S:1:pos:R:3 pbc="T T T"
In -1.072 0.667 2.788
In -1.739 -2.015 1.929
W -0.650 3.664 3.241
```

SG: C2/m
E_form: 734 meV per atom



CaMgMn2Zn: optimized geometry, PBE.

Structure (extended XYZ):
```
5
Lattice="-4.535 -0.133 1.988 -2.273 -0.545 -5.222 0.310 -4.929 0.379" Properties=species:S:1:pos:R:3 pbc="T T T"
Mn 0.155 -2.464 0.189
Zn -3.249 -2.803 -1.427
Mg 0.000 0.000 0.000
Ca -1.136 -0.272 -2.611
Mn -2.267 -0.066 0.994
```

SG: P4/mmm
E_form: 1074 meV per atom



CsGd2Ho: optimized geometry, PBE.

Structure (extended XYZ):
```
4
Lattice="-3.023 1.057 -1.765 -3.057 0.715 1.875 1.651 13.129 1.248" Properties=species:S:1:pos:R:3 pbc="T T T"
Ho -2.214 7.451 0.679
Gd -5.022 5.379 0.458
Gd 0.593 9.523 0.900
Cs 0.000 0.000 0.000
```

SG: R-3m
E_form: 305 meV per atom



> Which of these has the highest E_form?

CaMgMn2Zn